No. 1
The following is a PBE calculation of Y3CuIr after structural relaxation, from Alexandria.

Lattice parameters (Å, degrees): 5.362 5.362 5.362 90.00 90.00 90.00
Element x y z (fractional)
Y 0.000 0.000 0.500
Y 0.000 0.500 0.000
Y 0.500 0.000 0.000
Cu 0.500 0.500 0.500
Ir 0.000 0.000 0.000

Computed properties:
E = -32.7 eV per cell
total moment = 0.0 μB/cell
formation energy = -63 meV per atom
space group = Pm-3m, No. 221
Fermi-level density of states = 2.743 states/eV/cell
energy relative to the lowest polymorph listed for this composition = 0.000 eV per atom


No. 2
The following is a PBE calculation of Nd2Ho2Er15 after structural relaxation, from Alexandria.

Lattice parameters (Å, degrees): 8.665 8.665 8.665 80.36 80.36 80.36
Element x y z (fractional)
Nd 0.171 0.171 0.171
Nd 0.829 0.829 0.829
Ho 0.401 0.401 0.401
Ho 0.599 0.599 0.599
Er 0.000 0.500 0.500
Er 0.135 0.135 0.648
Er 0.135 0.648 0.135
Er 0.201 0.500 0.799
Er 0.201 0.799 0.500
Er 0.352 0.865 0.865
Er 0.500 0.000 0.500
Er 0.500 0.201 0.799
Er 0.500 0.500 0.000
Er 0.500 0.799 0.201
Er 0.648 0.135 0.135
Er 0.799 0.201 0.500
Er 0.799 0.500 0.201
Er 0.865 0.352 0.865
Er 0.865 0.865 0.352

Computed properties:
E = -81.8 eV per cell
total moment = 0.0 μB/cell
formation energy = 281 meV per atom
space group = R-3m, No. 166
Fermi-level density of states = 38.712 states/eV/cell


No. 3
The following is a PBE calculation of LiNbSeO5 after structural relaxation, from Alexandria.

Lattice parameters (Å, degrees): 5.585 5.585 7.795 109.27 109.27 92.29
Element x y z (fractional)
Li 0.056 0.944 0.750
Li 0.944 0.056 0.250
Nb 0.000 0.500 0.000
Nb 0.500 0.000 0.500
Se 0.416 0.584 0.750
Se 0.584 0.416 0.250
O 0.173 0.647 0.845
O 0.239 0.249 0.007
O 0.246 0.754 0.250
O 0.249 0.239 0.507
O 0.353 0.827 0.655
O 0.647 0.173 0.345
O 0.751 0.761 0.493
O 0.754 0.246 0.750
O 0.761 0.751 0.993
O 0.827 0.353 0.155

Computed properties:
E = -107.6 eV per cell
total moment = 0.0 μB/cell
ΔE_f (raw) = -1691.5 meV/atom
space group = C2/c, No. 15


No. 4
The following is a PBE calculation of Sm3CuSi2Pt9 after structural relaxation, from Alexandria.

Lattice parameters (Å, degrees): 5.712 5.712 10.698 90.00 90.00 120.00
Element x y z (fractional)
Sm 0.000 0.000 0.000
Sm 0.333 0.667 0.583
Sm 0.667 0.333 0.417
Cu 0.000 0.000 0.500
Si 0.333 0.667 0.165
Si 0.667 0.333 0.835
Pt 0.000 0.500 0.000
Pt 0.162 0.324 0.316
Pt 0.162 0.838 0.316
Pt 0.324 0.162 0.684
Pt 0.500 0.000 0.000
Pt 0.500 0.500 0.000
Pt 0.676 0.838 0.316
Pt 0.838 0.162 0.684
Pt 0.838 0.676 0.684

Computed properties:
E = -95.5 eV per cell
total moment = 0.0 μB/cell
ΔE_f (raw) = -800.6 meV/atom
space group = P-3m1, No. 164
Fermi-level density of states = 3.524 states/eV/cell


No. 5
The following is a PBE calculation of NaMg2Tl4 after structural relaxation, from Alexandria.

Lattice parameters (Å, degrees): 5.324 5.324 15.475 90.00 90.00 120.01
Element x y z (fractional)
Na 0.008 0.992 0.750
Na 0.992 0.008 0.250
Mg 0.337 0.663 0.558
Mg 0.337 0.663 0.942
Mg 0.663 0.337 0.058
Mg 0.663 0.337 0.442
Tl 0.000 0.000 0.000
Tl 0.000 0.000 0.500
Tl 0.326 0.674 0.143
Tl 0.326 0.674 0.357
Tl 0.341 0.659 0.750
Tl 0.659 0.341 0.250
Tl 0.674 0.326 0.643
Tl 0.674 0.326 0.857

Computed properties:
E = -28.5 eV per cell
total moment = 0.0 μB/cell
formation energy = -38 meV per atom
space group = Cmcm, No. 63
Fermi-level density of states = 7.029 states/eV/cell
energy relative to the lowest polymorph listed for this composition = 0.000 eV per atom


No. 6
The following is a PBE calculation of Nd3DySi4 after structural relaxation, from Alexandria.

Lattice parameters (Å, degrees): 8.857 8.857 8.857 152.66 138.27 50.61
Element x y z (fractional)
Nd 0.000 0.000 0.000
Nd 0.306 0.806 0.500
Nd 0.694 0.194 0.500
Dy 0.500 0.500 0.000
Si 0.055 0.370 0.685
Si 0.315 0.630 0.685
Si 0.685 0.370 0.315
Si 0.945 0.630 0.315

Computed properties:
E = -45.0 eV per cell
total moment = 0.0 μB/cell
ΔE_f (raw) = -551.6 meV/atom
space group = Immm, No. 71
Fermi-level density of states = 7.825 states/eV/cell